Entry 1:
! LiTaAl2, optimized geometry, DFT GGA-PBEsol; values from VASP
&SYSTEM
  ibrav = 0, nat = 4, ntyp = 3
/
ATOMIC_SPECIES
Li 6.94 Li.upf
Ta 180.95 Ta.upf
Al 26.98 Al.upf
ATOMIC_POSITIONS crystal
Li 0.503 0.503 0.491
Ta 0.746 0.746 0.761
Al 0.251 0.251 0.246
Al 0.999 0.999 0.003
CELL_PARAMETERS angstrom
2.858 0.000 0.000
1.429 2.475 0.000
1.429 0.825 9.417
! ΔE_f: 0.22 eV/f.u.
! Magnetization: 0.0 μB per cell
! Total energy: -5.621 eV/atom
! DOS(E_F): 0.582 states/eV per atom

=====

Entry 2:
! Li2TaAl, optimized geometry, DFT GGA-PBEsol; values from VASP
&SYSTEM
  ibrav = 0, nat = 4, ntyp = 3
/
ATOMIC_SPECIES
Li 6.94 Li.upf
Ta 180.95 Ta.upf
Al 26.98 Al.upf
ATOMIC_POSITIONS crystal
Li 0.492 0.500 0.237
Li 0.004 0.000 0.003
Ta 0.999 0.000 0.514
Al 0.505 0.500 0.746
CELL_PARAMETERS angstrom
-2.244 -1.412 -0.540
2.174 -2.919 -1.400
0.308 -2.472 5.630
! ΔE_f: 0.66 eV/f.u.
! Magnetization: 0.0 μB per cell
! Total energy: -4.978 eV/atom
! DOS(E_F): 0.431 states/eV per atom